The following is a DFT calculation (PBE) of a relaxed NaLi3Cd9 crystal.

**Formation energy from the elements**: -147 meV per atom
**Mass density**: 6.27 Mg/m³
**Total moment**: 0.00 μB per atom

Unit cell a=7.590 b=7.590 c=7.601 alpha=96.78 beta=96.78 gamma=137.49
Positions (direct):
Na: 0.000 0.000 0.000
Li: 0.000 0.000 0.500
Li: 0.000 0.500 0.000
Li: 0.500 0.000 0.000
Cd: 0.023 0.668 0.659
Cd: 0.285 0.504 0.793
Cd: 0.332 0.977 0.341
Cd: 0.496 0.715 0.207
Cd: 0.500 0.500 0.500
Cd: 0.504 0.285 0.793
Cd: 0.668 0.023 0.659
Cd: 0.715 0.496 0.207
Cd: 0.977 0.332 0.341

The following is a DFT calculation (PBE) of a relaxed Na2LiCd5 crystal.

**Offset from the most stable computed form**: 25 kJ/mol of formula units
**Formation energy from the elements**: -78 meV per atom
**Mass density**: 5.48 Mg/m³
**Total moment**: 0.00 μB per atom

Unit cell a=6.463 b=6.463 c=6.463 alpha=121.52 beta=121.52 gamma=87.39
Positions (direct):
Na: 0.000 0.500 0.500
Na: 0.500 0.000 0.500
Li: 0.499 0.499 0.000
Cd: 0.000 0.000 0.000
Cd: 0.000 0.000 0.500
Cd: 0.000 0.500 0.000
Cd: 0.500 0.000 0.000
Cd: 0.500 0.500 0.500

The following is a DFT calculation (PBE) of a relaxed NaLi3Cd crystal.

**Offset from the most stable computed form**: 0 kJ/mol of formula units
**Formation energy from the elements**: -70 meV per atom
**Mass density**: 2.39 Mg/m³
**Total moment**: 0.00 μB per atom

Unit cell a=7.802 b=6.269 c=10.533 alpha=90.00 beta=122.47 gamma=90.00
Positions (direct):
Na: 0.209 0.138 0.057
Na: 0.209 0.362 0.557
Na: 0.791 0.638 0.443
Na: 0.791 0.862 0.943
Li: 0.008 0.613 0.245
Li: 0.008 0.887 0.745
Li: 0.235 0.629 0.070
Li: 0.235 0.871 0.570
Li: 0.403 0.125 0.855
Li: 0.403 0.375 0.355
Li: 0.597 0.625 0.645
Li: 0.597 0.875 0.145
Li: 0.765 0.129 0.430
Li: 0.765 0.371 0.930
Li: 0.992 0.113 0.255
Li: 0.992 0.387 0.755
Cd: 0.372 0.631 0.858
Cd: 0.372 0.869 0.358
Cd: 0.628 0.131 0.642
Cd: 0.628 0.369 0.142

The following is a DFT calculation (PBE) of a relaxed NaLiCd4 crystal.

**Offset from the most stable computed form**: 36 kJ/mol of formula units
**Formation energy from the elements**: -73 meV per atom
**Mass density**: 5.68 Mg/m³
**Total moment**: 0.00 μB per atom

Unit cell a=8.887 b=8.887 c=7.301 alpha=90.00 beta=90.00 gamma=150.90
Positions (direct):
Na: 0.121 0.879 0.750
Na: 0.879 0.121 0.250
Li: 0.230 0.770 0.250
Li: 0.770 0.230 0.750
Cd: 0.068 0.932 0.250
Cd: 0.322 0.678 0.546
Cd: 0.322 0.678 0.954
Cd: 0.500 0.500 0.000
Cd: 0.500 0.500 0.500
Cd: 0.678 0.322 0.046
Cd: 0.678 0.322 0.454
Cd: 0.932 0.068 0.750

The following is a DFT calculation (PBE) of a relaxed Na2LiCd16 crystal.

**Formation energy from the elements**: -51 meV per atom
**Mass density**: 6.76 Mg/m³
**Total moment**: 0.00 μB per atom

Unit cell a=7.762 b=7.762 c=7.762 alpha=81.94 beta=81.94 gamma=81.94
Positions (direct):
Na: 0.000 0.000 0.000
Na: 0.323 0.323 0.323
Li: 0.754 0.754 0.754
Cd: 0.022 0.022 0.514
Cd: 0.022 0.514 0.022
Cd: 0.157 0.667 0.667
Cd: 0.303 0.303 0.821
Cd: 0.303 0.821 0.303
Cd: 0.368 0.665 0.960
Cd: 0.368 0.960 0.665
Cd: 0.514 0.022 0.022
Cd: 0.555 0.555 0.555
Cd: 0.665 0.368 0.960
Cd: 0.665 0.960 0.368
Cd: 0.667 0.157 0.667
Cd: 0.667 0.667 0.157
Cd: 0.821 0.303 0.303
Cd: 0.960 0.368 0.665
Cd: 0.960 0.665 0.368

The following is a DFT calculation (PBE) of a relaxed NaLiCd2 crystal.

**Offset from the most stable computed form**: 71 kJ/mol of formula units
**Formation energy from the elements**: 28 meV per atom
**Mass density**: 4.27 Mg/m³
**Total moment**: 0.00 μB per atom

Unit cell a=11.178 b=11.178 c=11.178 alpha=157.86 beta=157.86 gamma=31.52
Positions (direct):
Na: 0.000 0.000 0.000
Na: 0.750 0.250 0.500
Li: 0.250 0.750 0.500
Li: 0.500 0.500 0.000
Cd: 0.136 0.625 0.011
Cd: 0.375 0.386 0.511
Cd: 0.614 0.125 0.989
Cd: 0.875 0.864 0.489

The following is a DFT calculation (PBE) of a relaxed NaLiCd3 crystal.

**Offset from the most stable computed form**: 78 kJ/mol of formula units
**Formation energy from the elements**: 63 meV per atom
**Mass density**: 4.78 Mg/m³
**Total moment**: 0.00 μB per atom

Unit cell a=5.033 b=5.033 c=5.033 alpha=90.00 beta=90.00 gamma=90.00
Positions (direct):
Na: 0.000 0.000 0.000
Li: 0.500 0.500 0.500
Cd: 0.000 0.500 0.500
Cd: 0.500 0.000 0.500
Cd: 0.500 0.500 0.000

The following is a DFT calculation (PBE) of a relaxed NaLi2Cd8 crystal.

**Offset from the most stable computed form**: 6 kJ/mol of formula units
**Formation energy from the elements**: -104 meV per atom
**Mass density**: 6.13 Mg/m³
**Total moment**: 0.00 μB per atom

Unit cell a=8.805 b=8.805 c=5.281 alpha=107.33 beta=107.33 gamma=125.45
Positions (direct):
Na: 0.000 0.000 0.000
Li: 0.318 0.682 0.500
Li: 0.682 0.318 0.500
Cd: 0.095 0.379 0.736
Cd: 0.197 0.803 0.000
Cd: 0.379 0.095 0.736
Cd: 0.486 0.486 0.239
Cd: 0.514 0.514 0.761
Cd: 0.621 0.905 0.264
Cd: 0.803 0.197 0.000
Cd: 0.905 0.621 0.264

The following is a DFT calculation (PBE) of a relaxed Na4LiCd5 crystal.

**Formation energy from the elements**: -102 meV per atom
**Mass density**: 4.48 Mg/m³
**Total moment**: 0.00 μB per atom

Unit cell a=3.313 b=3.313 c=22.317 alpha=90.00 beta=90.00 gamma=90.00
Positions (direct):
Na: 0.000 0.000 0.107
Na: 0.000 0.000 0.320
Na: 0.000 0.000 0.680
Na: 0.000 0.000 0.893
Li: 0.000 0.000 0.500
Cd: 0.500 0.500 0.000
Cd: 0.500 0.500 0.213
Cd: 0.500 0.500 0.425
Cd: 0.500 0.500 0.575
Cd: 0.500 0.500 0.787

The following is a DFT calculation (PBE) of a relaxed NaLi3Cd crystal.

**Offset from the most stable computed form**: 41 kJ/mol of formula units
**Formation energy from the elements**: 15 meV per atom
**Mass density**: 2.05 Mg/m³
**Total moment**: 0.00 μB per atom

Unit cell a=7.050 b=7.050 c=5.897 alpha=90.00 beta=90.00 gamma=120.08
Positions (direct):
Na: 0.167 0.833 0.750
Na: 0.833 0.167 0.250
Li: 0.115 0.308 0.750
Li: 0.308 0.115 0.250
Li: 0.308 0.692 0.250
Li: 0.692 0.308 0.750
Li: 0.692 0.885 0.750
Li: 0.885 0.692 0.250
Cd: 0.500 0.500 0.000
Cd: 0.500 0.500 0.500

The following is a DFT calculation (PBE) of a relaxed NaLiCd2 crystal.

**Offset from the most stable computed form**: 6 kJ/mol of formula units
**Formation energy from the elements**: -140 meV per atom
**Mass density**: 4.70 Mg/m³
**Total moment**: 0.00 μB per atom

Unit cell a=7.339 b=7.339 c=8.128 alpha=93.95 beta=93.95 gamma=24.32
Positions (direct):
Na: 0.128 0.128 0.451
Na: 0.872 0.872 0.549
Li: 0.096 0.096 0.078
Li: 0.904 0.904 0.922
Cd: 0.236 0.236 0.823
Cd: 0.452 0.452 0.224
Cd: 0.548 0.548 0.776
Cd: 0.764 0.764 0.177